Record 1
Li2ReBr: optimized geometry, PBE.

Summary:
- Energy above the lowest structure with this stoichiometry: 9 kJ/mol of formula units
- Energy relative to the elements, uncorrected: 0.13 eV/atom
- Volume: 16.15 Å³/atom
- SG: Cmmm (65)
- Density: 7.20 Mg/m³

```
Li2ReBr
1.0
-0.420 2.614 1.109
-2.249 -1.010 -1.471
-3.099 -3.538 7.166
Li Br Re
2 1 1
direct
0.000 0.000 0.986
0.000 0.000 0.514
0.500 0.500 0.750
0.500 0.500 0.250
```

***

Record 2
Cd2InTe2: optimized geometry, PBE.

Summary:
- Energy above the lowest structure with this stoichiometry: 3 kJ/mol of formula units
- Energy relative to the elements, uncorrected: -0.11 eV/atom
- Volume: 28.29 Å³/atom
- SG: P4/mbm (127)
- Density: 6.98 Mg/m³

```
Cd2InTe2
1.0
8.378 0.000 0.000
0.000 8.378 0.000
0.000 0.000 4.031
Cd Te In
4 4 2
direct
0.129 0.371 0.000
0.871 0.629 0.000
0.629 0.129 0.000
0.371 0.871 0.000
0.326 0.174 0.500
0.826 0.326 0.500
0.174 0.674 0.500
0.674 0.826 0.500
0.000 0.000 0.000
0.500 0.500 0.000
```

***

Record 3
Sc2ReCl2: optimized geometry, PBE.

Summary:
- Energy relative to the elements, uncorrected: 0.45 eV/atom
- Volume: 29.37 Å³/atom
- SG: P4/mmm (123)
- Density: 3.92 Mg/m³

```
Sc2ReCl2
1.0
4.664 0.000 0.000
0.000 4.664 0.000
0.000 0.000 6.752
Cl Sc Re
2 2 1
direct
0.000 0.500 0.000
0.500 0.000 0.000
0.000 0.000 0.500
0.000 0.000 0.000
0.500 0.500 0.500
```